Below is an optimized crystal structure of Zn8Rh, with properties calculated at the PBE level.

abc: 6.231 6.231 8.424
angles: 47.47 47.47 85.06
Sites, in units of the cell vectors:
Rh  0.000  0.000  0.000
Zn  0.000  0.000  0.333
Zn  0.000  0.000  0.667
Zn  0.333  0.667  0.000
Zn  0.335  0.665  0.335
Zn  0.335  0.665  0.665
Zn  0.667  0.333  0.000
Zn  0.665  0.335  0.335
Zn  0.665  0.335  0.665

Computed properties:
Crystal system: tetragonal
SG: I4/mmm (139)
Calculated formation energy in meV/atom: -130
Fermi-level density of states in states/eV/atom: 0.199



Below is an optimized crystal structure of CeAl6Pt3, with properties calculated at the PBE level.

abc: 4.308 8.708 9.596
angles: 86.97 90.00 90.00
Each line ends with the local moment (μB).
Sites, in units of the cell vectors:
Ce  0.750  0.052  0.701  0.58
Ce  0.250  0.948  0.299  0.58
Al  0.750  0.428  0.574  0.00
Al  0.250  0.572  0.426  0.00
Al  0.750  0.889  0.032  0.00
Al  0.250  0.111  0.968  0.00
Al  0.750  0.468  0.090  0.00
Al  0.250  0.532  0.910  0.00
Al  0.750  0.700  0.263  0.00
Al  0.250  0.300  0.737  0.00
Al  0.750  0.193  0.376  0.00
Al  0.250  0.807  0.624  0.00
Al  0.750  0.687  0.788  0.00
Al  0.250  0.313  0.212  0.00
Pt  0.750  0.392  0.843  0.00
Pt  0.250  0.608  0.157  0.00
Pt  0.750  0.721  0.519  0.00
Pt  0.250  0.279  0.481  0.00
Pt  0.750  0.174  0.109  -0.01
Pt  0.250  0.826  0.891  -0.01

Computed properties:
Crystal system: monoclinic
SG: P2_1/m (11)
Calculated formation energy in meV/atom: -884
Fermi-level density of states in states/eV/atom: 0.665



Below is an optimized crystal structure of ZrHgIr2, with properties calculated at the PBE level.

abc: 4.860 4.860 5.069
angles: 76.85 76.85 37.80
Sites, in units of the cell vectors:
Hg  0.750  0.750  0.750
Ir  0.992  0.992  0.008
Ir  0.508  0.508  0.492
Zr  0.250  0.250  0.250

Computed properties:
Crystal system: monoclinic
SG: C2/m (12)
Calculated formation energy in meV/atom: -98
Fermi-level density of states in states/eV/atom: 0.929



Below is an optimized crystal structure of In2GaHgPd, with properties calculated at the PBE level.

abc: 5.231 5.231 4.864
angles: 90.00 90.00 90.00
Sites, in units of the cell vectors:
Ga  0.000  0.000  0.500
Hg  0.500  0.500  0.500
Pd  0.000  0.000  0.000
In  0.000  0.500  0.000
In  0.500  0.000  0.000

Computed properties:
Crystal system: tetragonal
SG: P4/mmm (123)
Calculated formation energy in meV/atom: -127
Fermi-level density of states in states/eV/atom: 0.341



Below is an optimized crystal structure of CaMoIr2, with properties calculated at the PBE level.

abc: 4.739 4.739 4.739
angles: 125.76 125.73 80.30
Each line ends with the local moment (μB).
Sites, in units of the cell vectors:
Mo  0.250  0.750  0.500  0.48
Ir  0.000  0.000  0.000  0.06
Ir  0.500  0.500  0.000  0.06
Ca  0.750  0.250  0.500  0.01

Computed properties:
Crystal system: tetragonal
SG: I4/mmm (139)
Calculated formation energy in meV/atom: 158
Fermi-level density of states in states/eV/atom: 1.091



Below is an optimized crystal structure of CaMgRu3, with properties calculated at the PBE level.

abc: 4.763 4.763 4.763
angles: 90.00 90.00 90.00
Each line ends with the local moment (μB).
Sites, in units of the cell vectors:
Ru  0.000  0.500  0.000  1.64
Ru  0.000  0.000  0.500  1.45
Ru  0.500  0.000  0.000  1.60
Ca  0.000  0.000  0.000  -0.04
Mg  0.500  0.500  0.500  -0.02

Computed properties:
Crystal system: cubic
SG: Pm-3m (221)
Calculated formation energy in meV/atom: 1933
Fermi-level density of states in states/eV/atom: 1.220



Below is an optimized crystal structure of InAsSe2, with properties calculated at the PBE level.

abc: 4.140 4.141 5.967
angles: 90.00 90.00 90.00
Sites, in units of the cell vectors:
As  0.000  0.000  0.332
Se  0.000  0.000  0.929
Se  0.500  0.500  0.375
In  0.500  0.500  0.864

Computed properties:
Energy relative to the elements, uncorrected in meV per atom: -151
Crystal system: tetragonal
SG: P4mm (99)
Fermi-level density of states in states/eV/atom: 0.565



Below is an optimized crystal structure of Sm2Tl3SnSe6, with properties calculated at the PBE level.

abc: 4.223 9.131 10.076
angles: 107.95 102.10 90.00
Sites, in units of the cell vectors:
Sm  0.834  0.665  0.668
Sm  0.166  0.335  0.332
Tl  0.500  0.500  0.000
Tl  0.831  0.162  0.662
Tl  0.169  0.838  0.338
Sn  0.500  0.000  0.000
Se  0.344  0.894  0.689
Se  0.676  0.564  0.352
Se  0.656  0.106  0.311
Se  0.007  0.227  0.014
Se  0.993  0.773  0.986
Se  0.324  0.436  0.648

Computed properties:
Energy relative to the elements, uncorrected in meV per atom: -1042
Crystal system: monoclinic
SG: C2/m (12)
Fermi-level density of states in states/eV/atom: 0.331



Below is an optimized crystal structure of PuRu2Pb, with properties calculated at the PBE level.

abc: 3.648 4.536 4.536
angles: 90.00 90.00 90.00
Each line ends with the local moment (μB).
Sites, in units of the cell vectors:
Pb  0.500  0.000  0.000  0.00
Ru  0.000  0.000  0.500  -0.45
Ru  0.000  0.500  0.000  -0.45
Pu  0.500  0.500  0.500  4.71

Computed properties:
Crystal system: tetragonal
SG: P4/mmm (123)
Calculated formation energy in meV/atom: 72
Fermi-level density of states in states/eV/atom: 2.034



Question: Look up the Fermi-level density of states of the fifth one.
Answer: 1.091 states/eV/atom



Question: Look up the Fermi-level density of states of the sixth one.
Answer: 1.220 states/eV/atom



Question: Number 4 is which compound?
Answer: In2GaHgPd